Entry 1:
Here is crystalline LiBiPbCl6 at its relaxed geometry from the Alexandria database. Energies are from GGA-PBE.

Cell lengths 6.8367, 6.8367, 12.7190 Å; angles 90.00, 90.00, 120.00 degrees
Space group P-31c (No. 163)
One atom of each set of equivalent atoms:
Li  0.3333  0.6667  0.2500
Bi  0.3333  0.6667  0.7500
Pb  0.0000  0.0000  0.0000
Cl  0.0135  0.3600  0.1316

Output
- formation energy (no corrections) (eV/atom) = -1.225
- total moment (μB/f.u.) = 0.0
- D(E_F) (states/eV per atom) = 0.000

Entry 2:
Here is crystalline Li2BiPbCl6 at its relaxed geometry from the Alexandria database. Energies are from GGA-PBE.

Cell lengths 6.784, 7.063, 7.316 Å; angles 70.06, 89.92, 63.19 degrees
Space group P1 (No. 1)
One atom of each set of equivalent atoms:
Li  0.000  0.000  0.000
Li  0.409  0.988  0.495
Bi  0.689  0.533  0.165
Pb  0.197  0.520  0.647
Cl  0.151  0.932  0.330
Cl  0.244  0.065  0.776
Cl  0.458  0.324  0.392
Cl  0.644  0.354  0.904
Cl  0.754  0.700  0.441
Cl  0.931  0.715  0.939

Output
- formation energy (no corrections) (eV/atom) = -1.235
- total moment (μB/f.u.) = 1.0

Entry 3:
Here is crystalline RbLiBiCl5 at its relaxed geometry from the Alexandria database. Energies are from GGA-PBE.

Cell lengths 9.117, 12.341, 10.214 Å; angles 90.00, 113.98, 90.00 degrees
Space group C2/c (No. 15)
One atom of each set of equivalent atoms:
Rb  0.000  0.151  0.250
Li  0.000  0.194  0.750
Bi  0.000  0.500  0.000
Cl  0.000  0.419  0.250
Cl  0.107  0.299  0.611
Cl  0.191  0.068  0.923

Output
- formation energy (no corrections) (eV/atom) = -1.462
- total moment (μB/f.u.) = 0.0
- D(E_F) (states/eV per atom) = 0.000

Entry 4:
Here is crystalline Rb2LiBiCl6 at its relaxed geometry from the Alexandria database. Energies are from GGA-PBE.

Cell lengths 7.456, 7.545, 12.926 Å; angles 90.00, 125.09, 90.00 degrees
Space group P2_1/c (No. 14)
One atom of each set of equivalent atoms:
Rb  0.240  0.042  0.249
Li  0.000  0.000  0.500
Bi  0.500  0.000  0.000
Cl  0.179  0.217  0.969
Cl  0.254  0.710  0.971
Cl  0.303  0.008  0.745

Output
- formation energy (no corrections) (eV/atom) = -1.575
- distance to the lowest polymorph of the same formula (meV/atom) = 0
- total moment (μB/f.u.) = 0.0
- D(E_F) (states/eV per atom) = 0.000

Entry 5:
Here is crystalline Rb2LiBiCl6 at its relaxed geometry from the Alexandria database. Energies are from GGA-PBE.

Cell lengths 10.622, 10.622, 10.622 Å; angles 90.00, 90.00, 90.00 degrees
Space group Fm-3m (No. 225)
One atom of each set of equivalent atoms:
Rb  0.250  0.250  0.250
Li  0.000  0.000  0.000
Bi  0.000  0.000  0.500
Cl  0.000  0.000  0.244

Output
- formation energy (no corrections) (eV/atom) = -1.567
- distance to the lowest polymorph of the same formula (meV/atom) = 8
- total moment (μB/f.u.) = 0.0
- D(E_F) (states/eV per atom) = 0.000

Entry 6:
Here is crystalline Rb3Li2BiCl9 at its relaxed geometry from the Alexandria database. Energies are from GGA-PBE.

Cell lengths 7.4041, 7.4041, 9.3434 Å; angles 90.00, 90.00, 120.00 degrees
Space group P-3m1 (No. 164)
One atom of each set of equivalent atoms:
Rb  0.0000  0.0000  0.0000
Rb  0.3333  0.6667  0.7043
Li  0.3333  0.6667  0.1019
Bi  0.0000  0.0000  0.5000
Cl  0.0000  0.5000  0.0000
Cl  0.1675  0.3349  0.3374

Output
- formation energy (no corrections) (eV/atom) = -1.507
- total moment (μB/f.u.) = 0.0
- D(E_F) (states/eV per atom) = 0.654

Entry 7:
Here is crystalline LiBiSCl2 at its relaxed geometry from the Alexandria database. Energies are from GGA-PBE.

Cell lengths 4.470, 4.470, 5.108 Å; angles 90.00, 90.00, 90.00 degrees
Space group P4/mmm (No. 123)
One atom of each set of equivalent atoms:
Li  0.000  0.000  0.000
Bi  0.500  0.500  0.500
S  0.000  0.000  0.500
Cl  0.000  0.500  0.000

Output
- formation energy (no corrections) (eV/atom) = -0.574
- distance to the lowest polymorph of the same formula (meV/atom) = 62
- total moment (μB/f.u.) = 0.0
- D(E_F) (states/eV per atom) = 0.425

Entry 8:
Here is crystalline LiBiSCl2 at its relaxed geometry from the Alexandria database. Energies are from GGA-PBE.

Cell lengths 5.495, 5.495, 5.347 Å; angles 90.00, 90.00, 90.00 degrees
Space group P4/mmm (No. 123)
One atom of each set of equivalent atoms:
Li  0.000  0.000  0.000
Bi  0.500  0.500  0.500
S  0.500  0.500  0.000
Cl  0.000  0.500  0.500

Output
- formation energy (no corrections) (eV/atom) = -0.636
- distance to the lowest polymorph of the same formula (meV/atom) = 0
- total moment (μB/f.u.) = 0.0
- D(E_F) (states/eV per atom) = 0.134

Entry 9:
Here is crystalline LiSnBi2Cl at its relaxed geometry from the Alexandria database. Energies are from GGA-PBE.

Cell lengths 5.919, 5.919, 5.438 Å; angles 90.00, 90.00, 90.00 degrees
Space group P4/mmm (No. 123)
One atom of each set of equivalent atoms:
Li  0.000  0.000  0.000
Sn  0.500  0.500  0.500
Bi  0.000  0.500  0.500
Cl  0.500  0.500  0.000

Output
- formation energy (no corrections) (eV/atom) = 0.159
- total moment (μB/f.u.) = 0.0
- D(E_F) (states/eV per atom) = 1.100

Entry 10:
Here is crystalline SrLiBiCl6 at its relaxed geometry from the Alexandria database. Energies are from GGA-PBE.

Cell lengths 7.1085, 7.1085, 11.9132 Å; angles 90.00, 90.00, 120.00 degrees
Space group P-31c (No. 163)
One atom of each set of equivalent atoms:
Sr  0.3333  0.6667  0.2500
Li  0.0000  0.0000  0.0000
Bi  0.3333  0.6667  0.7500
Cl  0.0189  0.3391  0.6223

Output
- formation energy (no corrections) (eV/atom) = -1.624
- total moment (μB/f.u.) = 0.0
- D(E_F) (states/eV per atom) = 0.000

Entry 11:
Here is crystalline Li2BiTeCl at its relaxed geometry from the Alexandria database. Energies are from GGA-PBE.

Cell lengths 5.612, 5.612, 5.330 Å; angles 90.00, 90.00, 90.00 degrees
Space group P4/mmm (No. 123)
One atom of each set of equivalent atoms:
Li  0.000  0.500  0.000
Bi  0.000  0.000  0.000
Te  0.500  0.500  0.500
Cl  0.000  0.000  0.500

Output
- formation energy (no corrections) (eV/atom) = -0.062
- total moment (μB/f.u.) = 2.0
- D(E_F) (states/eV per atom) = 0.448

Entry 12:
Here is crystalline Li2TlBiCl6 at its relaxed geometry from the Alexandria database. Energies are from GGA-PBE.

Cell lengths 6.7095, 6.7095, 23.1660 Å; angles 90.00, 90.00, 120.00 degrees
Space group R-3 (No. 148, hexagonal axes)
One atom of each set of equivalent atoms:
Li  0.0000  0.0000  0.1725
Tl  0.0000  0.0000  0.0000
Bi  0.0000  0.0000  0.5000
Cl  0.0006  0.6552  0.5627

Output
- formation energy (no corrections) (eV/atom) = -1.337
- total moment (μB/f.u.) = 0.0
- D(E_F) (states/eV per atom) = 0.000

Entry 13:
Here is crystalline Li2Tl3BiCl9 at its relaxed geometry from the Alexandria database. Energies are from GGA-PBE.

Cell lengths 7.2798, 7.2798, 9.1252 Å; angles 90.00, 90.00, 120.00 degrees
Space group P-3m1 (No. 164)
One atom of each set of equivalent atoms:
Li  0.3333  0.6667  0.1315
Tl  0.0000  0.0000  0.0000
Tl  0.3333  0.6667  0.7373
Bi  0.0000  0.0000  0.5000
Cl  0.0000  0.5000  0.0000
Cl  0.1685  0.3371  0.3291

Output
- formation energy (no corrections) (eV/atom) = -1.110
- total moment (μB/f.u.) = 0.0
- D(E_F) (states/eV per atom) = 0.312

Entry 14:
Here is crystalline LiTlBiCl6 at its relaxed geometry from the Alexandria database. Energies are from GGA-PBE.

Cell lengths 6.8159, 6.8159, 6.3266 Å; angles 90.00, 90.00, 120.00 degrees
Space group P312 (No. 149)
One atom of each set of equivalent atoms:
Li  0.0000  0.0000  0.0000
Tl  0.3333  0.6667  0.5000
Bi  0.6667  0.3333  0.0000
Cl  0.3226  0.0124  0.2371

Output
- formation energy (no corrections) (eV/atom) = -1.050
- total moment (μB/f.u.) = 0.0
- D(E_F) (states/eV per atom) = 0.448

Entry 15:
Here is crystalline LiYBi2Cl at its relaxed geometry from the Alexandria database. Energies are from GGA-PBE.

Cell lengths 4.894, 4.894, 5.742 Å; angles 90.00, 90.00, 90.00 degrees
Space group P4/mmm (No. 123)
One atom of each set of equivalent atoms:
Li  0.000  0.000  0.000
Y  0.000  0.000  0.500
Bi  0.000  0.500  0.000
Cl  0.500  0.500  0.500

Output
- formation energy (no corrections) (eV/atom) = -0.239
- total moment (μB/f.u.) = 0.0
- D(E_F) (states/eV per atom) = 0.409

Entry 16:
Here is crystalline LiZnBiCl6 at its relaxed geometry from the Alexandria database. Energies are from GGA-PBE.

Cell lengths 6.6021, 6.6021, 11.8967 Å; angles 90.00, 90.00, 120.00 degrees
Space group P-31c (No. 163)
One atom of each set of equivalent atoms:
Li  0.0000  0.0000  0.0000
Zn  0.3333  0.6667  0.2500
Bi  0.3333  0.6667  0.7500
Cl  0.0280  0.3560  0.1274

Output
- formation energy (no corrections) (eV/atom) = -1.164
- total moment (μB/f.u.) = 0.0
- D(E_F) (states/eV per atom) = 0.000

Entry 17:
Here is crystalline LiZrBi2Cl at its relaxed geometry from the Alexandria database. Energies are from GGA-PBE.

Cell lengths 5.595, 5.595, 6.150 Å; angles 90.00, 90.00, 90.00 degrees
Space group P4/mmm (No. 123)
One atom of each set of equivalent atoms:
Li  0.000  0.000  0.000
Zr  0.000  0.000  0.500
Bi  0.000  0.500  0.500
Cl  0.500  0.500  0.000

Output
- formation energy (no corrections) (eV/atom) = 0.266
- total moment (μB/f.u.) = 1.2
- D(E_F) (states/eV per atom) = 0.693

Entry 18:
Here is crystalline LuBi2ClO4 at its relaxed geometry from the Alexandria database. Energies are from GGA-PBE.

Cell lengths 3.856, 3.856, 9.030 Å; angles 90.00, 90.00, 90.00 degrees
Space group P4/mmm (No. 123)
One atom of each set of equivalent atoms:
Lu  0.000  0.000  0.000
Bi  0.500  0.500  0.275
Cl  0.000  0.000  0.500
O  0.000  0.500  0.148

Output
- formation energy (no corrections) (eV/atom) = -2.057
- total moment (μB/f.u.) = 0.0

Entry 19:
Here is crystalline MgBiCl2 at its relaxed geometry from the Alexandria database. Energies are from GGA-PBE.

Cell lengths 7.357, 7.357, 7.357 Å; angles 90.00, 90.00, 90.00 degrees
Space group Fm-3m (No. 225)
One atom of each set of equivalent atoms:
Mg  0.000  0.000  0.000
Bi  0.000  0.000  0.500
Cl  0.250  0.250  0.250

Output
- formation energy (no corrections) (eV/atom) = -0.237
- distance to the lowest polymorph of the same formula (meV/atom) = 963
- total moment (μB/f.u.) = 0.0
- D(E_F) (states/eV per atom) = 1.101

Entry 20:
Here is crystalline MgBiCl2 at its relaxed geometry from the Alexandria database. Energies are from GGA-PBE.

Cell lengths 3.5028, 3.5028, 37.2948 Å; angles 90.00, 90.00, 120.00 degrees
Space group R-3m (No. 166, hexagonal axes)
One atom of each set of equivalent atoms:
Mg  0.0000  0.0000  0.0000
Bi  0.0000  0.0000  0.5000
Cl  0.0000  0.0000  0.3718

Output
- formation energy (no corrections) (eV/atom) = -1.200
- distance to the lowest polymorph of the same formula (meV/atom) = 0
- total moment (μB/f.u.) = 0.0
- D(E_F) (states/eV per atom) = 0.297